[1]
{
  "formula": "PrMg2SnAu4",
  "functional": "PBE-GGA",
  "state": "optimized geometry",
  "lattice": [[2.305, 1.331, 9.466], [-2.305, 1.331, 9.466], [0.000, -2.662, 9.466]],
  "species": ["Pr", "Mg", "Mg", "Sn", "Au", "Au", "Au", "Au"],
  "fractional_positions": [[0.000, 0.000, 0.000], [0.243, 0.243, 0.243], [0.757, 0.757, 0.757], [0.500, 0.500, 0.500], [0.119, 0.119, 0.119], [0.392, 0.392, 0.392], [0.608, 0.608, 0.608], [0.881, 0.881, 0.881]]
}


[2]
{
  "formula": "PrMgSn2Au4",
  "functional": "PBE-GGA",
  "state": "optimized geometry",
  "lattice": [[2.410, 1.391, 8.639], [-2.410, 1.391, 8.639], [0.000, -2.783, 8.639]],
  "species": ["Pr", "Mg", "Sn", "Sn", "Au", "Au", "Au", "Au"],
  "fractional_positions": [[0.000, 0.000, 0.000], [0.500, 0.500, 0.500], [0.250, 0.250, 0.250], [0.750, 0.750, 0.750], [0.138, 0.138, 0.138], [0.391, 0.391, 0.391], [0.609, 0.609, 0.609], [0.862, 0.862, 0.862]]
}


Number 1: calculated volume 174 Å³/f.u., energy of formation -0.551 eV/atom. Number 2: calculated volume 174 Å³/f.u., energy of formation -0.523 eV/atom.